# Ga2Te2I

A geometry-optimized Ga2Te2I structure (PBE, the Alexandria database).

total moment: 0.00 μB/f.u.
SG: I4_1md, No. 109
crystal system: tetragonal
raw formation energy: -0.26 eV/atom
energy: -3.04 eV per atom
energy above the lowest structure with this stoichiometry: 0.000 eV/atom

Lattice parameters (Å, degrees): 8.2616 8.2616 8.2616 118.62 118.62 92.41
Fractional positions:
Ga: 0.3012 0.0000 0.3012
Ga: 0.6988 0.0000 0.6988
Ga: 0.7500 0.5512 0.8012
Ga: 0.7500 0.9488 0.1988
Te: 0.0221 0.7668 0.2554
Te: 0.5114 0.7668 0.7446
Te: 0.5168 0.2721 0.7554
Te: 0.5168 0.7614 0.2446
I: 0.0990 0.0990 0.0000
I: 0.8490 0.3490 0.5000